Entry 1:
12
Lattice="6.8478 0.0000 0.1853 0.0000 6.8541 0.0000 0.0840 0.0000 6.9224" Properties=species:S:1:pos:R:3 comment="Dy4CuIr (PBE, relaxed)" dos_at_fermi_per_ev_cell=11.92 ef_ev_per_atom=-0.34 m_tot_mub_per_cell=0.0 pbc="T T T"
Dy 2.2661 5.7574 1.1542
Dy 5.6900 4.5238 1.2468
Dy 4.6658 1.0967 5.9535
Dy 5.8104 1.0968 2.4563
Dy 4.5454 4.5239 4.7440
Dy 1.1214 5.7573 4.6513
Dy 1.2419 2.3304 5.8609
Dy 2.3865 2.3302 2.3637
Cu 0.0420 3.4271 3.4612
Cu 3.4659 0.0000 3.5538
Ir 0.0000 0.0000 0.0000
Ir 3.4239 3.4271 0.0926



Entry 2:
6
Lattice="0.0000 4.0683 4.0683 4.0683 0.0000 4.0683 4.0683 4.0683 0.0000" Properties=species:S:1:pos:R:3 comment="ScFeCl4 (PBE, relaxed)" e_form_raw_ev_per_atom=0.48 dos_at_fermi_per_ev_cell=11.41 m_tot_mub_per_cell=4.6 pbc="T T T"
Sc 0.0000 0.0000 0.0000
Fe 6.1025 6.1025 6.1025
Cl 3.0526 5.0840 5.0840
Cl 5.0840 3.0526 5.0840
Cl 3.0526 3.0526 3.0526
Cl 5.0840 5.0840 3.0526



Entry 3:
8
Lattice="-1.2838 3.4153 1.6951 -3.3448 1.6305 -5.8186 -4.2790 -3.6849 4.1837" Properties=species:S:1:pos:R:3 comment="PrDyTh2S4 (PBE, relaxed)" e_form_raw_ev_per_atom=-1.90 dos_at_fermi_per_ev_cell=4.62 m_tot_mub_per_cell=0.0 pbc="T T T"
S -3.5043 0.3172 -3.2931
S -6.3512 0.1425 -0.3230
S -2.5563 1.2185 0.3833
S -4.1195 -2.3715 1.6583
Th -3.8119 -1.0272 -0.8174
Th -2.7814 -0.1348 2.9394
Dy -2.3143 2.5229 -2.0617
Pr 0.0000 0.0000 0.0000



Entry 4:
8
Lattice="-5.1833 6.2732 -3.1274 0.6861 2.4016 -5.7459 -1.2269 -6.0958 -0.7680" Properties=species:S:1:pos:R:3 comment="Te2PtI (PBE, relaxed)" e_form_raw_ev_per_atom=-0.05 dos_at_fermi_per_ev_cell=3.25 m_tot_mub_per_cell=0.0 pbc="T T T"
Pt -1.9878 -2.0159 -2.1115
Pt -3.7363 4.5949 -7.5299
I -4.6386 0.7163 -4.3882
I -1.0855 1.8626 -5.2531
Te -4.5725 3.7399 -5.1658
Te -3.9009 0.8992 -7.9375
Te -1.1516 -1.1609 -4.4756
Te -1.8233 1.6798 -1.7039



Entry 5:
5
Lattice="3.8186 0.0000 0.0000 0.0000 3.8186 0.0000 1.9093 1.9093 6.9575" Properties=species:S:1:pos:R:3 comment="MgAg2Au2 (PBE, relaxed)" polymorph_energy_ev_per_atom=0.154 dos_at_fermi_per_ev_cell=1.53 ef_ev_per_atom=-0.11 m_tot_mub_per_cell=0.0 pbc="T T T"
Mg 0.0000 0.0000 0.0000
Ag 3.8186 1.9093 3.4787
Ag 1.9093 3.8186 3.4787
Au 1.9093 1.9093 1.3374
Au 3.8186 3.8186 5.6201



Entry 6:
5
Lattice="4.0806 0.0000 0.0000 0.0000 5.2137 0.0000 0.0000 0.0000 4.0806" Properties=species:S:1:pos:R:3 comment="MgZn2PtF (PBE, relaxed)" e_form_raw_ev_per_atom=-0.18 dos_at_fermi_per_ev_cell=2.02 m_tot_mub_per_cell=0.0 pbc="T T T"
F 0.0000 0.0000 0.0000
Pt 0.0000 2.6068 0.0000
Mg 2.0403 2.6068 2.0403
Zn 2.0403 0.0000 0.0000
Zn 0.0000 0.0000 2.0403



Entry 7:
4
Lattice="-4.4283 -2.2497 -2.3511 -2.6596 -4.1010 2.5113 -4.9861 0.8638 2.1426" Properties=species:S:1:pos:R:3 comment="BaPrZnAu (PBE, relaxed)" dos_at_fermi_per_ev_cell=3.15 ef_ev_per_atom=-0.36 m_tot_mub_per_cell=0.0 pbc="T T T"
Zn 0.0000 0.0000 0.0000
Au -6.0370 -2.7434 1.1514
Ba -3.0185 -1.3717 0.5757
Pr -9.0555 -4.1152 1.7271



Entry 8:
6
Lattice="0.0000 4.3257 4.3257 4.3257 0.0000 4.3257 4.3257 4.3257 0.0000" Properties=species:S:1:pos:R:3 comment="SrSc4P (PBE, relaxed)" dos_at_fermi_per_ev_cell=9.29 ef_ev_per_atom=0.39 m_tot_mub_per_cell=0.0 pbc="T T T"
Sc 3.2501 3.2501 3.2501
Sc 5.4012 3.2501 5.4012
Sc 3.2501 5.4012 5.4012
Sc 5.4012 5.4012 3.2501
Sr 6.4885 6.4885 6.4885
P 0.0000 0.0000 0.0000



Entry 9:
6
Lattice="-2.7339 1.0084 -3.5340 2.8113 -3.6085 -0.2362 -5.5992 -4.5606 3.0302" Properties=species:S:1:pos:R:3 comment="Li2AcPmGe2 (PBE, relaxed)" dos_at_fermi_per_ev_cell=1.03 ef_ev_per_atom=-0.65 m_tot_mub_per_cell=0.0 pbc="T T T"
Ge -0.5619 -3.3115 -0.5102
Ge -4.9598 -3.8491 -0.2298
Ac 0.0000 0.0000 0.0000
Li -2.5444 -1.8818 -1.5369
Li -2.9773 -5.2789 0.7969
Pm -2.7996 -2.2803 1.5151



Entry 10:
19
Lattice="-4.9332 8.5595 -1.6309 -2.8406 -4.5701 8.4443 9.9336 1.0511 -0.6935" Properties=species:S:1:pos:R:3 comment="Pr6Dy12Tm (PBE, relaxed)" dos_at_fermi_per_ev_cell=26.71 ef_ev_per_atom=0.33 m_tot_mub_per_cell=0.0 pbc="T T T"
Dy -2.8491 6.9579 0.2973
Dy -1.4305 -1.9426 7.1273
Dy -5.0693 3.1724 5.1870
Dy 1.8821 -2.5133 6.9225
Dy -4.6196 5.3987 2.7005
Dy 0.2776 7.5537 -0.8026
Dy 7.2290 1.8680 0.9329
Dy 5.9771 4.6752 -0.4432
Dy 3.5903 6.9830 -1.0074
Dy 6.7793 -0.3583 3.4193
Dy -3.8174 0.3652 6.5631
Dy 5.0088 -1.9175 5.8225
Pr 3.7586 1.9481 1.7580
Pr -0.8252 4.2631 1.4689
Pr 2.9849 0.7773 4.6509
Pr -1.5989 3.0923 4.3619
Pr -0.1800 0.2149 4.5754
Pr 2.3397 4.8255 1.5445
Tm 0.0000 0.0000 0.0000



Entry 11:
4
Lattice="4.5079 0.0000 0.0000 2.2540 3.9040 0.0000 2.2540 1.3013 3.6807" Properties=species:S:1:pos:R:3 comment="LuMnIrRu (PBE, relaxed)" dos_at_fermi_per_ev_cell=3.90 ef_ev_per_atom=-0.29 m_tot_mub_per_cell=3.7 pbc="T T T"
Mn 4.5079 2.6026 1.8403
Lu 0.0000 0.0000 0.0000
Ir 6.7619 3.9040 2.7605
Ru 2.2540 1.3013 0.9202



Entry 12:
12
Lattice="4.0012 0.0000 0.0000 0.0000 7.7828 0.5260 -2.0006 -1.9812 8.2431" Properties=species:S:1:pos:R:3 comment="Pa6P2SeS3 (PBE, relaxed)" e_form_raw_ev_per_atom=-1.46 dos_at_fermi_per_ev_cell=18.05 m_tot_mub_per_cell=0.0 pbc="T T T"
Pa 2.0006 3.8958 3.0419
Pa 0.0000 5.8309 5.8899
Pa 2.0006 -0.0293 2.8792
Pa 0.0000 5.7218 0.3924
Pa 2.0006 0.0798 8.3767
Pa 0.0000 1.9057 5.7272
S 0.0000 5.8271 3.1573
S 2.0006 -0.0255 5.6117
S 2.0006 3.8914 0.2630
P 0.0000 1.9316 2.9298
P 2.0006 3.8700 5.8392
Se 2.0006 0.0000 0.0000